[1]
Computed, not measured: a PBEsol-optimized structure of K2ZnCo at the meta-GGA SCAN level of DFT.

a = 5.1439 Å, b = 5.1439 Å, c = 5.1439 Å
α = 60.00°, β = 60.00°, γ = 60.00°
Closest atoms and distances in Å follow each position.
Positions (direct):
K: 0.0000 0.0000 0.0000  4 K 3.15, 4 Zn 3.15
K: 0.2500 0.2500 0.2500  4 Co 3.15, 4 K 3.15
Zn: 0.7500 0.7500 0.7500  4 K 3.15, 4 Co 3.15
Co: 0.5000 0.5000 0.5000  4 K 3.15, 4 Zn 3.15

Computed properties:
Formation energy from the elements   0.803 eV/atom
Size of the total moment   1.1 Bohr magnetons per cell
Crystal system   cubic

=====

[2]
Computed, not measured: a PBEsol-optimized structure of Sm2SiSeO4 at the meta-GGA SCAN level of DFT.

a = 6.0938 Å, b = 7.0487 Å, c = 10.8558 Å
α = 90.00°, β = 90.00°, γ = 90.00°
Closest atoms and distances in Å follow each position.
Positions (direct):
Sm: 0.1071 0.2500 0.0000  6 O 2.41-2.44
Sm: 0.1071 0.2500 0.5000  6 O 2.41-2.44
Sm: 0.3698 0.5325 0.2500  6 O 2.42-2.52
Sm: 0.3698 0.9675 0.7500  6 O 2.42-2.52
Sm: 0.6302 0.0325 0.2500  6 O 2.42-2.52
Sm: 0.6302 0.4675 0.7500  6 O 2.42-2.52
Sm: 0.8929 0.7500 0.0000  6 O 2.41-2.44
Sm: 0.8929 0.7500 0.5000  6 O 2.41-2.44
Si: 0.3883 0.7500 0.0000  4 O 1.64-1.65
Si: 0.3883 0.7500 0.5000  4 O 1.64-1.65
Si: 0.6117 0.2500 0.0000  4 O 1.64-1.65
Si: 0.6117 0.2500 0.5000  4 O 1.64-1.65
Se: 0.0810 0.6139 0.7500  4 Sm 2.93-3.10, 4 O 3.22-3.28
Se: 0.0810 0.8861 0.2500  4 Sm 2.93-3.10, 4 O 3.22-3.28
Se: 0.9190 0.1139 0.7500  4 Sm 2.93-3.10, 4 O 3.22-3.28
Se: 0.9190 0.3861 0.2500  4 Sm 2.93-3.10, 4 O 3.22-3.28
O: 0.2270 0.5711 0.0333  1 Si 1.64
O: 0.2270 0.5711 0.4667  1 Si 1.64
O: 0.2270 0.9289 0.5333  1 Si 1.64
O: 0.2270 0.9289 0.9667  1 Si 1.64
O: 0.4462 0.2375 0.6198  1 Si 1.65
O: 0.4462 0.2375 0.8802  1 Si 1.65
O: 0.4462 0.2625 0.1198  1 Si 1.65
O: 0.4462 0.2625 0.3802  1 Si 1.65
O: 0.5538 0.7375 0.6198  1 Si 1.65
O: 0.5538 0.7375 0.8802  1 Si 1.65
O: 0.5538 0.7625 0.1198  1 Si 1.65
O: 0.5538 0.7625 0.3802  1 Si 1.65
O: 0.7730 0.0711 0.0333  1 Si 1.64
O: 0.7730 0.0711 0.4667  1 Si 1.64
O: 0.7730 0.4289 0.5333  1 Si 1.64
O: 0.7730 0.4289 0.9667  1 Si 1.64

Computed properties:
Size of the total moment   0.0 Bohr magnetons per cell
Crystal system   orthorhombic
Energy relative to the elements, uncorrected   -3.312 eV/atom

=====

[3]
Computed, not measured: a PBEsol-optimized structure of Li2HgAs at the meta-GGA SCAN level of DFT.

a = 2.9433 Å, b = 4.6325 Å, c = 4.8475 Å
α = 90.00°, β = 90.00°, γ = 90.00°
Closest atoms and distances in Å follow each position.
Positions (direct):
Li: 0.0000 0.0000 0.0000  4 As 2.79, 4 Hg 2.82-2.85, 4 Li 2.94-2.98
Li: 0.0000 0.5000 0.3852  4 Hg 2.80, 4 As 2.80-2.87, 4 Li 2.94-2.98
Hg: 0.5000 0.0000 0.4973  8 Li 2.80-2.85, 2 Hg 2.94, 2 As 3.01
As: 0.5000 0.5000 0.8937  8 Li 2.79-2.87, 2 As 2.94, 2 Hg 3.01

Computed properties:
Formation energy from the elements   -0.491 eV/atom
Size of the total moment   0.0 Bohr magnetons per cell
Crystal system   orthorhombic

=====

[4]
Computed, not measured: a PBEsol-optimized structure of CrIr at the meta-GGA SCAN level of DFT.

a = 4.9550 Å, b = 4.9550 Å, c = 6.2177 Å
α = 103.68°, β = 103.68°, γ = 31.03°
Closest atoms and distances in Å follow each position.
Positions (direct):
Cr: 0.0000 0.0000 0.0000  7 Ir 2.54-2.65, 5 Cr 2.62-2.67
Cr: 0.0596 0.0596 0.6100  7 Ir 2.59-2.60, 5 Cr 2.62-2.65
Cr: 0.6737 0.6737 0.3327  6 Ir 2.54-2.64, 6 Cr 2.62-2.67
Ir: 0.3388 0.3388 0.6674  7 Cr 2.59-2.64, 5 Ir 2.62-2.66
Ir: 0.3999 0.3999 0.2792  7 Cr 2.55-2.62, 5 Ir 2.62-2.72
Ir: 0.7154 0.7154 0.9441  6 Cr 2.54-2.65, 6 Ir 2.65-2.72

Computed properties:
Formation energy from the elements   -0.244 eV/atom
Size of the total moment   0.8 Bohr magnetons per cell
Crystal system   monoclinic

=====

[5]
Computed, not measured: a PBEsol-optimized structure of Fe3Ir at the meta-GGA SCAN level of DFT.

a = 4.1152 Å, b = 4.1152 Å, c = 2.8858 Å
α = 90.00°, β = 90.00°, γ = 90.00°
Closest atoms and distances in Å follow each position.
Positions (direct):
Fe: 0.0000 0.0000 0.0000  8 Fe 2.51
Fe: 0.0000 0.5000 0.5000  4 Fe 2.51, 4 Ir 2.51
Fe: 0.5000 0.0000 0.5000  4 Fe 2.51, 4 Ir 2.51
Ir: 0.5000 0.5000 0.0000  8 Fe 2.51

Computed properties:
Formation energy from the elements   -0.222 eV/atom
Size of the total moment   9.3 Bohr magnetons per cell
Crystal system   tetragonal

=====

[6]
Computed, not measured: a PBEsol-optimized structure of SrZn2Ni at the meta-GGA SCAN level of DFT.

a = 5.8643 Å, b = 5.8643 Å, c = 5.8643 Å
α = 41.74°, β = 41.74°, γ = 41.74°
Closest atoms and distances in Å follow each position.
Positions (direct):
Sr: 0.0000 0.0000 0.0000  8 Zn 3.11-3.29
Zn: 0.1940 0.1940 0.1940  3 Ni 2.45, 3 Zn 2.57
Zn: 0.8060 0.8060 0.8060  3 Ni 2.45, 3 Zn 2.57
Ni: 0.5000 0.5000 0.5000  6 Zn 2.45

Computed properties:
Formation energy from the elements   -0.245 eV/atom
Size of the total moment   0.0 Bohr magnetons per cell
Crystal system   trigonal